# 1
Computed, not measured: a relaxed MnBeCo crystal at the PBE-GGA level of DFT.

Unit cell a=2.4543 b=3.5190 c=6.7256 alpha=90.00 beta=99.65 gamma=90.00
Space group P2_1/m (No. 11)
Asymmetric unit:
Mn 0.1812 0.2500 0.4266 x2
Be 0.0380 0.2500 0.0860 x2
Co 0.4013 0.2500 0.7904 x2

Values from the calculation:
formation enthalpy at 0 K = -0.28 eV/f.u.
relative energy among the computed polymorphs = 66 meV per atom
DOS at the Fermi energy = 6.34 states/eV/cell
energy = -6.759 eV per atom
density = 7.13 g cm⁻³

=====

# 2
Computed, not measured: a relaxed MgAlGe2 crystal at the PBE-GGA level of DFT.

Unit cell a=4.1821 b=4.1821 c=16.0445 alpha=90.00 beta=90.00 gamma=120.00
Space group R3m (No. 160, hexagonal axes)
Asymmetric unit:
Mg 0.0000 0.0000 0.0000 x3
Al 0.0000 0.0000 0.8206 x3
Ge 0.0000 0.0000 0.2429 x3
Ge 0.0000 0.0000 0.4110 x3

Values from the calculation:
formation enthalpy at 0 K = 0.07 eV/f.u.
DOS at the Fermi energy = 3.97 states/eV/cell
energy = -3.625 eV per atom
density = 4.03 g cm⁻³